No. 1
Crystalline MgCoCu4B2 at its relaxed geometry, computed with PBE.

```
MgCoCu4B2
1.0
3.673 0.000 0.000
0.000 3.673 0.000
0.000 0.000 6.344
B Co Cu Mg
2 1 4 1
direct
0.000 0.000 0.000
0.500 0.500 0.500
0.000 0.000 0.500
0.500 0.000 0.260
0.000 0.500 0.260
0.500 0.000 0.740
0.000 0.500 0.740
0.500 0.500 0.000
```

Summary:
The electronic total energy comes out at -4.139 eV per atom. As for the symmetry: P4/mmm (123).

***

No. 2
Crystalline AcSmNO at its relaxed geometry, computed with PBE.

```
AcSmNO
1.0
7.257 0.000 0.000
0.000 8.513 0.000
0.000 0.000 5.376
Ac N O Sm
4 4 4 4
direct
0.073 0.129 0.050
0.573 0.871 0.050
0.427 0.129 0.550
0.927 0.871 0.550
0.421 0.153 0.048
0.921 0.847 0.048
0.079 0.153 0.548
0.579 0.847 0.548
0.910 0.395 0.054
0.410 0.605 0.054
0.590 0.395 0.554
0.090 0.605 0.554
0.588 0.379 0.050
0.088 0.621 0.050
0.912 0.379 0.550
0.412 0.621 0.550
```

Summary:
The electronic total energy comes out at -7.422 eV per atom. As for the symmetry: Pca2_1 (29).

***

No. 3
Crystalline Y3Lu4Ni2Se2 at its relaxed geometry, computed with PBE.

```
Y3Lu4Ni2Se2
1.0
-1.896 7.477 4.589
1.896 -7.477 4.589
1.896 7.477 -4.589
Lu Ni Se Y
4 2 2 3
direct
0.018 0.892 0.126
0.415 0.100 0.316
0.784 0.100 0.684
0.766 0.892 0.874
0.651 0.409 0.242
0.167 0.409 0.758
0.138 0.138 0.000
0.743 0.243 0.500
0.486 0.486 0.000
0.098 0.739 0.359
0.380 0.739 0.641
```

Summary:
The electronic total energy comes out at -5.886 eV per atom. As for the symmetry: Imm2 (44).

***

No. 4
Crystalline NpInPd at its relaxed geometry, computed with PBE.

```
NpInPd
1.0
0.000 3.267 3.267
3.267 0.000 3.267
3.267 3.267 0.000
In Np Pd
1 1 1
direct
0.500 0.500 0.500
0.000 0.000 0.000
0.250 0.250 0.250
```

Summary:
The electronic total energy comes out at -6.928 eV per atom. As for the symmetry: F-43m (216).

***

No. 5
Crystalline TmCoOs at its relaxed geometry, computed with PBE.

```
TmCoOs
1.0
0.000 3.058 3.058
3.058 0.000 3.058
3.058 3.058 0.000
Co Os Tm
1 1 1
direct
0.250 0.250 0.250
0.000 0.000 0.000
0.750 0.750 0.750
```

Summary:
The calculation puts the energy of formation at 0.51 eV/atom. As for the symmetry: F-43m (216).

***

No. 6
Crystalline CsPdPt at its relaxed geometry, computed with PBE.

```
CsPdPt
1.0
4.650 0.000 0.000
0.000 5.389 0.000
0.000 0.000 12.557
Cs Pd Pt
4 4 4
direct
0.750 0.125 0.225
0.250 0.625 0.275
0.750 0.875 0.725
0.250 0.375 0.775
0.252 0.373 0.024
0.748 0.873 0.476
0.248 0.627 0.524
0.752 0.127 0.976
0.752 0.629 0.001
0.248 0.129 0.499
0.748 0.371 0.501
0.252 0.871 0.999
```

Summary:
The electronic total energy comes out at -4.112 eV per atom. As for the symmetry: P2_12_12_1 (19).

***

No. 7
Crystalline Sr2AlAu at its relaxed geometry, computed with PBE.

```
Sr2AlAu
1.0
2.909 2.659 3.480
-1.946 4.303 2.310
-1.263 -0.098 5.102
Al Au Sr
1 1 2
direct
0.500 0.500 0.500
0.250 0.250 0.250
0.000 0.000 0.000
0.750 0.750 0.750
```

Summary:
The electronic total energy comes out at -2.815 eV per atom. As for the symmetry: F-43m (216).

***

No. 8
Crystalline HoBeSb at its relaxed geometry, computed with PBE.

```
HoBeSb
1.0
0.000 3.330 3.330
3.330 0.000 3.330
3.330 3.330 0.000
Be Ho Sb
1 1 1
direct
0.250 0.250 0.250
0.750 0.750 0.750
0.000 0.000 0.000
```

Summary:
The electronic total energy comes out at -3.891 eV per atom. As for the symmetry: F-43m (216).

***

No. 9
Crystalline Tl2Re at its relaxed geometry, computed with PBE.

```
Tl2Re
1.0
0.000 4.184 4.184
4.184 0.000 4.184
4.184 4.184 0.000
Re Tl
2 4
direct
0.000 0.000 0.000
0.250 0.250 0.250
0.625 0.625 0.125
0.625 0.125 0.625
0.125 0.625 0.625
0.625 0.625 0.625
```

Summary:
The electronic total energy comes out at -3.795 eV per atom. As for the symmetry: Fd-3m (227).

***

No. 10
Crystalline RbNi3N5 at its relaxed geometry, computed with PBE.

```
RbNi3N5
1.0
4.758 0.000 0.000
-2.379 4.121 0.000
0.000 0.000 6.201
N Ni Rb
5 3 1
direct
0.667 0.333 0.291
0.333 0.667 0.291
0.000 0.000 0.500
0.667 0.333 0.709
0.333 0.667 0.709
0.500 0.000 0.500
0.000 0.500 0.500
0.500 0.500 0.500
0.000 0.000 0.000
```

Summary:
The electronic total energy comes out at -5.546 eV per atom. As for the symmetry: P6/mmm (191).

***

No. 11
Crystalline SmF3 at its relaxed geometry, computed with PBE.

```
SmF3
1.0
-2.670 4.953 3.406
1.218 0.774 -6.417
-2.392 -3.097 0.371
F Sm
6 2
direct
0.244 0.244 0.253
0.939 0.588 0.263
0.588 0.939 0.263
0.412 0.061 0.737
0.061 0.412 0.737
0.756 0.756 0.747
0.841 0.159 0.000
0.159 0.841 0.000
```

Summary:
The electronic total energy comes out at -6.576 eV per atom. As for the symmetry: C2/m (12).

***

No. 12
Crystalline YZn2 at its relaxed geometry, computed with PBE.

```
YZn2
1.0
-1.967 -3.966 -2.302
9.195 -4.626 0.111
-1.021 -1.929 4.195
Y Zn
4 8
direct
0.060 0.000 0.000
0.060 0.667 0.000
0.774 0.167 0.500
0.774 0.500 0.500
0.458 0.207 0.000
0.972 0.333 0.000
0.458 0.460 0.000
0.566 0.833 0.000
0.267 0.333 0.500
0.375 0.707 0.500
0.861 0.833 0.500
0.375 0.960 0.500
```

Summary:
The calculation puts the energy of formation at -0.11 eV/atom. As for the symmetry: Pmmn (59).

***

No. 13
Crystalline LuCoHgBi at its relaxed geometry, computed with PBE.

```
LuCoHgBi
1.0
-1.882 2.140 4.029
-4.105 -1.802 2.062
0.235 -2.306 4.356
Bi Co Hg Lu
1 1 1 1
direct
0.000 0.000 0.000
0.750 0.750 0.750
0.500 0.500 0.500
0.250 0.250 0.250
```

Summary:
The electronic total energy comes out at -3.920 eV per atom. As for the symmetry: F-43m (216).

***

No. 14
Crystalline PrLuCo2Ge2C at its relaxed geometry, computed with PBE.

```
PrLuCo2Ge2C
1.0
-4.232 3.871 0.596
-3.484 2.116 4.078
6.733 1.422 -0.729
C Co Ge Lu Pr
1 2 2 1 1
direct
0.006 0.006 0.019
0.192 0.192 0.083
0.811 0.811 0.922
0.833 0.833 0.286
0.163 0.163 0.703
0.556 0.556 0.287
0.438 0.438 0.701
```

Summary:
The electronic total energy comes out at -6.556 eV per atom. As for the symmetry: Cm (8).

***

No. 15
Crystalline Cu2Ag3 at its relaxed geometry, computed with PBE.

```
Cu2Ag3
1.0
2.860 0.000 0.000
0.000 2.860 0.000
0.000 0.000 18.958
Ag Cu
6 4
direct
0.000 0.000 0.000
0.500 0.500 0.113
0.500 0.500 0.305
0.500 0.500 0.500
0.500 0.500 0.695
0.500 0.500 0.887
0.000 0.000 0.209
0.000 0.000 0.402
0.000 0.000 0.598
0.000 0.000 0.791
```

Summary:
The calculation puts the energy of formation at 0.08 eV/atom. As for the symmetry: P4/mmm (123).

***

No. 16
Crystalline DyHo2In3AgIr2 at its relaxed geometry, computed with PBE.

```
DyHo2In3AgIr2
1.0
3.842 0.000 0.000
0.000 6.662 3.846
0.000 -6.662 3.846
Ag Dy Ho In Ir
1 1 2 3 2
direct
0.000 0.000 0.000
0.000 0.413 0.413
0.000 0.587 0.000
0.000 0.000 0.587
0.500 0.268 0.000
0.500 0.000 0.268
0.500 0.732 0.732
0.500 0.667 0.333
0.500 0.333 0.667
```

Summary:
The electronic total energy comes out at -5.337 eV per atom. As for the symmetry: Amm2 (38).

***

No. 17
Crystalline Y2ErHg at its relaxed geometry, computed with PBE.

```
Y2ErHg
1.0
-1.255 0.666 6.702
-5.119 -1.540 -4.284
0.991 -5.265 0.709
Er Hg Y
2 2 4
direct
0.172 0.828 0.250
0.828 0.172 0.750
0.667 0.333 0.250
0.333 0.667 0.750
0.170 0.345 0.250
0.655 0.830 0.250
0.345 0.170 0.750
0.830 0.655 0.750
```

Summary:
The calculation puts the energy of formation at -0.17 eV/atom. As for the symmetry: Cmcm (63).

***

No. 18
Crystalline ErSiH2O4 at its relaxed geometry, computed with PBE.

```
ErSiH2O4
1.0
0.000 4.742 -3.146
0.000 -4.742 -3.146
-5.297 0.000 3.146
Er H O Si
2 4 8 2
direct
0.514 0.514 0.000
0.264 0.764 0.500
0.369 0.945 0.042
0.077 0.153 0.458
0.695 0.619 0.542
0.903 0.327 0.958
0.076 0.334 0.081
0.005 0.885 0.220
0.535 0.915 0.280
0.744 0.502 0.419
0.084 0.326 0.581
0.635 0.255 0.720
0.665 0.785 0.780
0.252 0.994 0.919
0.991 0.991 0.000
0.741 0.241 0.500
```

Summary:
The electronic total energy comes out at -6.563 eV per atom. As for the symmetry: Fdd2 (43).

***

No. 19
Crystalline UAlRe at its relaxed geometry, computed with PBE.

```
UAlRe
1.0
0.000 3.114 3.114
3.114 0.000 3.114
3.114 3.114 0.000
Al Re U
1 1 1
direct
0.000 0.000 0.000
0.250 0.250 0.250
0.750 0.750 0.750
```

Summary:
The electronic total energy comes out at -8.444 eV per atom. As for the symmetry: F-43m (216).

***

No. 20
Crystalline Sm4PtAu3 at its relaxed geometry, computed with PBE.

```
Sm4PtAu3
1.0
-3.456 1.267 1.147
1.075 -1.084 4.438
4.173 10.072 1.449
Au Pt Sm
3 1 4
direct
0.000 0.000 0.413
0.000 0.500 0.587
0.500 0.000 0.914
0.500 0.500 0.087
0.000 0.000 0.136
0.500 0.500 0.354
0.500 0.000 0.639
0.000 0.500 0.870
```

Summary:
The calculation puts the energy of formation at -0.93 eV/atom. As for the symmetry: Pmm2 (25).